Record 1
A plane-wave DFT calculation with PBE was carried out for a relaxed structure of SmTlTe2O6.

The calculated density comes out at 6.33 g cm⁻³. Its calculated volume is 18.5 A^3/atom. As for the uncorrected formation energy: -1627 meV per atom. The spin magnetization comes out at 0.0 μB/f.u. Its space-group type is No. 15.

a b c (Å): 7.113 7.113 7.731
angles (deg): 98.89 98.89 102.40
Sites, in units of the cell vectors:
Sm1 0.062 0.938 0.750
Sm2 0.938 0.062 0.250
Tl1 0.315 0.685 0.250
Tl2 0.685 0.315 0.750
Te1 0.183 0.412 0.674
Te2 0.412 0.183 0.174
Te3 0.588 0.817 0.826
Te4 0.817 0.588 0.326
O1 0.032 0.811 0.435
O2 0.040 0.593 0.754
O3 0.189 0.968 0.065
O4 0.229 0.291 0.872
O5 0.291 0.229 0.372
O6 0.407 0.960 0.746
O7 0.593 0.040 0.254
O8 0.709 0.771 0.628
O9 0.771 0.709 0.128
O10 0.811 0.032 0.935
O11 0.960 0.407 0.246
O12 0.968 0.189 0.565



Record 2
A plane-wave DFT calculation with PBE was carried out for a relaxed structure of Ba2AsPt.

The calculated density comes out at 8.06 g cm⁻³. The formation energy is -378 meV per atom. Its calculated volume is 28.1 A^3/atom. The spin magnetization comes out at 0.0 μB/f.u. Its space-group type is No. 216.

a b c (Å): 5.414 5.414 5.414
angles (deg): 60.00 60.00 60.00
Sites, in units of the cell vectors:
Ba1 0.000 0.000 0.000
Ba2 0.250 0.250 0.250
As1 0.500 0.500 0.500
Pt1 0.750 0.750 0.750



Record 3
A plane-wave DFT calculation with PBE was carried out for a relaxed structure of HoIn6Pd3.

The calculated density comes out at 9.00 g cm⁻³. The formation energy is -433 meV per atom. Its calculated volume is 21.7 A^3/atom. The spin magnetization comes out at 0.0 μB/f.u. Its space-group type is No. 11.

a b c (Å): 9.174 4.501 10.616
angles (deg): 90.00 98.92 90.00
Sites, in units of the cell vectors:
Ho1 0.078 0.250 0.257
Ho2 0.922 0.750 0.743
In1 0.093 0.250 0.608
In2 0.145 0.750 0.036
In3 0.289 0.750 0.761
In4 0.349 0.750 0.295
In5 0.379 0.250 0.495
In6 0.447 0.250 0.905
In7 0.553 0.750 0.095
In8 0.621 0.750 0.505
In9 0.651 0.250 0.705
In10 0.711 0.250 0.239
In11 0.855 0.250 0.964
In12 0.907 0.750 0.392
Pd1 0.136 0.250 0.876
Pd2 0.193 0.750 0.497
Pd3 0.370 0.250 0.146
Pd4 0.630 0.750 0.854
Pd5 0.807 0.250 0.503
Pd6 0.864 0.750 0.124